No. 1
A plane-wave DFT calculation with PBE-GGA was carried out for a relaxed structure of TaAgPO.

Output
M_tot ... 0.000 μB/atom
Polymorph energy (0 for the lowest one) ... 1.975 eV/f.u.
Symmetry ... No. 129

a = 4.821 Å, b = 4.821 Å, c = 4.825 Å
α = 90.00°, β = 90.00°, γ = 90.00°
Fractional positions:
Ag 0.000 0.500 0.136
Ag 0.500 0.000 0.864
O 0.000 0.000 0.000
O 0.500 0.500 0.000
P 0.500 0.000 0.363
P 0.000 0.500 0.637
Ta 0.000 0.000 0.500
Ta 0.500 0.500 0.500

=====

No. 2
A plane-wave DFT calculation with PBE-GGA was carried out for a relaxed structure of TcAgPO.

Output
M_tot ... 0.012 μB/atom
Polymorph energy (0 for the lowest one) ... 0.000 eV/f.u.
Symmetry ... No. 26

a = 2.952 Å, b = 6.935 Å, c = 5.717 Å
α = 90.00°, β = 90.00°, γ = 90.00°
Fractional positions:
Ag 0.000 0.035 0.375
Ag 0.000 0.965 0.875
O 0.500 0.294 0.376
O 0.500 0.706 0.876
P 0.000 0.691 0.377
P 0.000 0.309 0.877
Tc 0.500 0.500 0.126
Tc 0.500 0.500 0.626

=====

No. 3
A plane-wave DFT calculation with PBE-GGA was carried out for a relaxed structure of TcAgPO.

Output
M_tot ... 0.003 μB/atom
Polymorph energy (0 for the lowest one) ... 0.887 eV/f.u.
Symmetry ... No. 26

a = 3.538 Å, b = 6.471 Å, c = 6.086 Å
α = 90.00°, β = 90.00°, γ = 90.00°
Fractional positions:
Ag 0.000 0.846 0.010
Ag 0.000 0.154 0.510
O 0.000 0.794 0.415
O 0.000 0.206 0.915
P 0.500 0.372 0.346
P 0.500 0.628 0.846
Tc 0.500 0.695 0.483
Tc 0.500 0.305 0.983

=====

No. 4
A plane-wave DFT calculation with PBE-GGA was carried out for a relaxed structure of TcAgPO.

Output
M_tot ... 0.153 μB/atom
Polymorph energy (0 for the lowest one) ... 2.114 eV/f.u.
Symmetry ... No. 129

a = 3.530 Å, b = 3.530 Å, c = 8.866 Å
α = 90.00°, β = 90.00°, γ = 90.00°
Each line ends with the local moment (μB).
Fractional positions:
Ag 0.000 0.000 0.500  0.01
Ag 0.500 0.500 0.500  0.01
O 0.000 0.000 0.000  -0.02
O 0.500 0.500 0.000  -0.02
P 0.500 0.000 0.261  0.01
P 0.000 0.500 0.739  0.01
Tc 0.000 0.500 0.139  0.56
Tc 0.500 0.000 0.861  0.56

=====

No. 5
A plane-wave DFT calculation with PBE-GGA was carried out for a relaxed structure of TcAgPO.

Output
M_tot ... 0.000 μB/atom
Polymorph energy (0 for the lowest one) ... 1.665 eV/f.u.
Symmetry ... No. 129

a = 4.431 Å, b = 4.431 Å, c = 5.335 Å
α = 90.00°, β = 90.00°, γ = 90.00°
Fractional positions:
Ag 0.000 0.500 0.134
Ag 0.500 0.000 0.866
O 0.000 0.000 0.000
O 0.500 0.500 0.000
P 0.500 0.000 0.335
P 0.000 0.500 0.665
Tc 0.000 0.000 0.500
Tc 0.500 0.500 0.500

=====

No. 6
A plane-wave DFT calculation with PBE-GGA was carried out for a relaxed structure of TlAgPO.

Output
Polymorph energy (0 for the lowest one) ... 1.408 eV/f.u.
Symmetry ... No. 129

a = 4.443 Å, b = 4.443 Å, c = 9.010 Å
α = 90.00°, β = 90.00°, γ = 90.00°
Fractional positions:
Ag 0.000 0.500 0.043
Ag 0.500 0.000 0.957
O 0.000 0.000 0.000
O 0.500 0.500 0.000
P 0.000 0.500 0.323
P 0.500 0.000 0.677
Tl 0.000 0.000 0.500
Tl 0.500 0.500 0.500

=====

No. 7
A plane-wave DFT calculation with PBE-GGA was carried out for a relaxed structure of TlAgP2O6.

Output
Energy ... -124.38 eV for the cell shown
Symmetry ... No. 15

a = 7.454 Å, b = 7.454 Å, c = 4.980 Å
α = 94.81°, β = 94.81°, γ = 87.70°
Fractional positions:
Ag 0.119 0.881 0.250
Ag 0.881 0.119 0.750
O 0.677 0.656 0.030
O 0.064 0.206 0.186
O 0.452 0.874 0.242
O 0.126 0.548 0.258
O 0.794 0.936 0.314
O 0.344 0.323 0.470
O 0.656 0.677 0.530
O 0.206 0.064 0.686
O 0.874 0.452 0.742
O 0.548 0.126 0.758
O 0.936 0.794 0.814
O 0.323 0.344 0.970
P 0.193 0.357 0.219
P 0.643 0.807 0.281
P 0.357 0.193 0.719
P 0.807 0.643 0.781
Tl 0.711 0.289 0.250
Tl 0.289 0.711 0.750

=====

No. 8
A plane-wave DFT calculation with PBE-GGA was carried out for a relaxed structure of TlAgPO.

Output
Polymorph energy (0 for the lowest one) ... 0.000 eV/f.u.
Symmetry ... No. 26

a = 3.490 Å, b = 6.998 Å, c = 6.740 Å
α = 90.00°, β = 90.00°, γ = 90.00°
Fractional positions:
Ag 0.500 0.358 0.037
Ag 0.500 0.642 0.537
O 0.500 0.341 0.376
O 0.500 0.659 0.876
P 0.000 0.812 0.365
P 0.000 0.188 0.865
Tl 0.000 0.167 0.476
Tl 0.000 0.833 0.976

=====

No. 9
A plane-wave DFT calculation with PBE-GGA was carried out for a relaxed structure of TlAgPO.

Output
Polymorph energy (0 for the lowest one) ... 0.438 eV/f.u.
Symmetry ... No. 129

a = 4.124 Å, b = 4.124 Å, c = 8.796 Å
α = 90.00°, β = 90.00°, γ = 90.00°
Fractional positions:
Ag 0.000 0.000 0.500
Ag 0.500 0.500 0.500
O 0.000 0.000 0.000
O 0.500 0.500 0.000
P 0.500 0.000 0.330
P 0.000 0.500 0.670
Tl 0.000 0.500 0.122
Tl 0.500 0.000 0.878

=====

No. 10
A plane-wave DFT calculation with PBE-GGA was carried out for a relaxed structure of TlAgPO.

Output
Polymorph energy (0 for the lowest one) ... 0.088 eV/f.u.
Symmetry ... No. 26

a = 4.355 Å, b = 6.786 Å, c = 5.046 Å
α = 90.00°, β = 90.00°, γ = 90.00°
Fractional positions:
Ag 0.000 0.826 0.474
Ag 0.000 0.174 0.974
O 0.500 0.890 0.397
O 0.500 0.110 0.897
P 0.000 0.450 0.428
P 0.000 0.550 0.928
Tl 0.500 0.220 0.455
Tl 0.500 0.780 0.955

=====

No. 11
A plane-wave DFT calculation with PBE-GGA was carried out for a relaxed structure of Tl2Ag3P3O12.

Output
Energy ... -232.56 eV for the cell shown
Symmetry ... No. 15

a = 6.689 Å, b = 9.186 Å, c = 9.186 Å
α = 89.69°, β = 106.88°, γ = 73.12°
Fractional positions:
Ag 0.250 0.002 0.002
Ag 0.750 0.286 0.286
Ag 0.500 0.500 0.500
Ag 0.000 0.500 0.500
Ag 0.250 0.714 0.714
Ag 0.750 0.998 0.998
O 0.426 0.665 0.005
O 0.836 0.583 0.076
O 0.045 0.252 0.144
O 0.635 0.834 0.153
O 0.135 0.847 0.166
O 0.455 0.144 0.252
O 0.298 0.424 0.260
O 0.654 0.584 0.287
O 0.926 0.995 0.335
O 0.154 0.713 0.416
O 0.336 0.924 0.417
O 0.202 0.260 0.424
O 0.798 0.740 0.576
O 0.664 0.076 0.583
O 0.846 0.287 0.584
O 0.074 0.005 0.665
O 0.346 0.416 0.713
O 0.702 0.576 0.740
O 0.545 0.856 0.748
O 0.865 0.153 0.834
O 0.365 0.166 0.847
O 0.955 0.748 0.856
O 0.164 0.417 0.924
O 0.574 0.335 0.995
P 0.638 0.663 0.135
P 0.250 0.267 0.267
P 0.138 0.865 0.337
P 0.862 0.135 0.663
P 0.750 0.733 0.733
P 0.362 0.337 0.865
Tl 0.166 0.616 0.083
Tl 0.666 0.917 0.384
Tl 0.334 0.083 0.616
Tl 0.834 0.384 0.917

=====

No. 12
A plane-wave DFT calculation with PBE-GGA was carried out for a relaxed structure of TmAgPO.

Output
M_tot ... 0.001 μB/atom
Polymorph energy (0 for the lowest one) ... 1.950 eV/f.u.
Symmetry ... No. 129

a = 5.520 Å, b = 5.520 Å, c = 4.636 Å
α = 90.00°, β = 90.00°, γ = 90.00°
Fractional positions:
Ag 0.000 0.500 0.002
Ag 0.500 0.000 0.998
O 0.000 0.000 0.000
O 0.500 0.500 0.000
P 0.500 0.000 0.498
P 0.000 0.500 0.502
Tm 0.000 0.000 0.500
Tm 0.500 0.500 0.500

=====

No. 13
A plane-wave DFT calculation with PBE-GGA was carried out for a relaxed structure of TmAgPO.

Output
M_tot ... 0.000 μB/atom
Polymorph energy (0 for the lowest one) ... 0.000 eV/f.u.
Symmetry ... No. 129

a = 3.910 Å, b = 3.910 Å, c = 8.747 Å
α = 90.00°, β = 90.00°, γ = 90.00°
Fractional positions:
Ag 0.000 0.000 0.500
Ag 0.500 0.500 0.500
O 0.000 0.000 0.000
O 0.500 0.500 0.000
P 0.500 0.000 0.306
P 0.000 0.500 0.694
Tm 0.000 0.500 0.120
Tm 0.500 0.000 0.880

=====

No. 14
A plane-wave DFT calculation with PBE-GGA was carried out for a relaxed structure of TmAgPO.

Output
M_tot ... 0.000 μB/atom
Polymorph energy (0 for the lowest one) ... 1.248 eV/f.u.
Symmetry ... No. 26

a = 3.654 Å, b = 7.594 Å, c = 5.761 Å
α = 90.00°, β = 90.00°, γ = 90.00°
Fractional positions:
Ag 0.000 0.129 0.440
Ag 0.000 0.871 0.940
O 0.000 0.833 0.439
O 0.000 0.167 0.939
P 0.500 0.339 0.438
P 0.500 0.661 0.938
Tm 0.500 0.703 0.438
Tm 0.500 0.297 0.938

=====

No. 15
A plane-wave DFT calculation with PBE-GGA was carried out for a relaxed structure of TmAgPO.

Output
M_tot ... 0.000 μB/atom
Polymorph energy (0 for the lowest one) ... 1.255 eV/f.u.
Symmetry ... No. 26

a = 4.127 Å, b = 6.098 Å, c = 5.562 Å
α = 90.00°, β = 90.00°, γ = 90.00°
Fractional positions:
Ag 0.000 0.150 0.026
Ag 0.000 0.850 0.526
O 0.500 0.975 0.353
O 0.500 0.025 0.853
P 0.000 0.481 0.305
P 0.000 0.519 0.805
Tm 0.500 0.741 0.070
Tm 0.500 0.259 0.570

=====

No. 16
A plane-wave DFT calculation with PBE-GGA was carried out for a relaxed structure of ZnAgPO.

Output
Polymorph energy (0 for the lowest one) ... 1.552 eV/f.u.
Symmetry ... No. 129

a = 4.157 Å, b = 4.157 Å, c = 8.716 Å
α = 90.00°, β = 90.00°, γ = 90.00°
Fractional positions:
Ag 0.000 0.500 0.074
Ag 0.500 0.000 0.926
O 0.000 0.000 0.000
O 0.500 0.500 0.000
P 0.000 0.500 0.354
P 0.500 0.000 0.646
Zn 0.000 0.000 0.500
Zn 0.500 0.500 0.500

=====

No. 17
A plane-wave DFT calculation with PBE-GGA was carried out for a relaxed structure of ZnAg2P2O7.

Output
Energy ... -284.84 eV for the cell shown
Symmetry ... No. 136

a = 7.753 Å, b = 7.753 Å, c = 10.375 Å
α = 90.00°, β = 90.00°, γ = 90.00°
Fractional positions:
Ag 0.801 0.199 0.000
Ag 0.363 0.363 0.000
Ag 0.637 0.637 0.000
Ag 0.199 0.801 0.000
Ag 0.863 0.137 0.500
Ag 0.301 0.301 0.500
Ag 0.699 0.699 0.500
Ag 0.137 0.863 0.500
O 0.309 0.081 0.144
O 0.081 0.309 0.144
O 0.919 0.691 0.144
O 0.691 0.919 0.144
O 0.636 0.364 0.147
O 0.364 0.636 0.147
O 0.000 0.000 0.152
O 0.500 0.500 0.348
O 0.136 0.136 0.353
O 0.864 0.864 0.353
O 0.581 0.191 0.356
O 0.809 0.419 0.356
O 0.191 0.581 0.356
O 0.419 0.809 0.356
O 0.581 0.191 0.644
O 0.809 0.419 0.644
O 0.191 0.581 0.644
O 0.419 0.809 0.644
O 0.136 0.136 0.647
O 0.864 0.864 0.647
O 0.500 0.500 0.652
O 0.000 0.000 0.848
O 0.636 0.364 0.853
O 0.364 0.636 0.853
O 0.309 0.081 0.856
O 0.081 0.309 0.856
O 0.919 0.691 0.856
O 0.691 0.919 0.856
P 0.139 0.139 0.207
P 0.861 0.861 0.207
P 0.639 0.361 0.293
P 0.361 0.639 0.293
P 0.639 0.361 0.707
P 0.361 0.639 0.707
P 0.139 0.139 0.793
P 0.861 0.861 0.793
Zn 0.500 0.000 0.250
Zn 0.000 0.500 0.250
Zn 0.500 0.000 0.750
Zn 0.000 0.500 0.750

=====

No. 18
A plane-wave DFT calculation with PBE-GGA was carried out for a relaxed structure of ZnAgPO.

Output
Polymorph energy (0 for the lowest one) ... 0.193 eV/f.u.
Symmetry ... No. 129

a = 4.004 Å, b = 4.004 Å, c = 8.825 Å
α = 90.00°, β = 90.00°, γ = 90.00°
Fractional positions:
Ag 0.000 0.000 0.500
Ag 0.500 0.500 0.500
O 0.000 0.000 0.000
O 0.500 0.500 0.000
P 0.500 0.000 0.329
P 0.000 0.500 0.671
Zn 0.500 0.000 0.055
Zn 0.000 0.500 0.945

=====

No. 19
A plane-wave DFT calculation with PBE-GGA was carried out for a relaxed structure of ZnAgPO.

Output
Polymorph energy (0 for the lowest one) ... 0.196 eV/f.u.
Symmetry ... No. 26

a = 3.619 Å, b = 6.942 Å, c = 5.158 Å
α = 90.00°, β = 90.00°, γ = 90.00°
Fractional positions:
Ag 0.000 0.737 0.469
Ag 0.000 0.263 0.969
O 0.500 0.913 0.356
O 0.500 0.087 0.856
P 0.000 0.397 0.438
P 0.000 0.603 0.938
Zn 0.500 0.169 0.491
Zn 0.500 0.831 0.991

=====

No. 20
A plane-wave DFT calculation with PBE-GGA was carried out for a relaxed structure of ZnAgPO.

Output
Polymorph energy (0 for the lowest one) ... 0.000 eV/f.u.
Symmetry ... No. 26

a = 3.100 Å, b = 6.686 Å, c = 5.700 Å
α = 90.00°, β = 90.00°, γ = 90.00°
Fractional positions:
Ag 0.500 0.726 0.069
Ag 0.500 0.274 0.569
O 0.500 0.966 0.389
O 0.500 0.034 0.889
P 0.000 0.459 0.241
P 0.000 0.541 0.741
Zn 0.000 0.144 0.055
Zn 0.000 0.856 0.555